DFT (PBE) results for a geometry-optimized Ta2MoIr structure.

Output
Its calculated volume is 18.1 A^3/atom. As for the calculated formation energy: 0.603 eV per atom. Its calculated total energy is -10.247 eV/atom. The calculation puts the size of the total moment at 0.0 μB per formula unit. As for the crystal system: tetragonal.

Structure (CIF):
```
data_Ta2MoIr
_chemical_formula_sum 'Ta8 Mo4 Ir4'
_symmetry_space_group_name_H-M 'I -4 2 d'
_symmetry_Int_Tables_number 122
_symmetry_space_group_name_Hall 'I -4 2bw'
_cell_length_a 3.877
_cell_length_b 3.877
_cell_length_c 19.231
_cell_angle_alpha 90.00
_cell_angle_beta 90.00
_cell_angle_gamma 90.00
loop_
_atom_site_label
_atom_site_fract_x
_atom_site_fract_y
_atom_site_fract_z
_atom_site_occupancy
Ta1 0.249 0.250 0.125 1
Mo1 0.000 0.000 0.000 1
Ir1 0.000 0.000 0.500 1
```


DFT (PBE) results for a geometry-optimized Ta2MoIr9 structure.

Output
Its calculated volume is 15.6 A^3/atom. As for the calculated formation energy: -0.202 eV per atom. Its calculated total energy is -9.725 eV/atom. The calculation puts the size of the total moment at 0.0 μB per formula unit. As for the crystal system: triclinic.

Structure (CIF):
```
data_Ta2MoIr9
_chemical_formula_sum 'Ta2 Mo1 Ir9'
_symmetry_space_group_name_H-M 'P 1'
_symmetry_Int_Tables_number 1
_cell_length_a 4.827
_cell_length_b 6.805
_cell_length_c 6.861
_cell_angle_alpha 65.38
_cell_angle_beta 69.55
_cell_angle_gamma 70.95
loop_
_symmetry_equiv_pos_as_xyz
'x,y,z'
loop_
_atom_site_label
_atom_site_fract_x
_atom_site_fract_y
_atom_site_fract_z
_atom_site_occupancy
Ta1 0.000 0.000 0.000 1
Ta2 0.259 0.045 0.478 1
Mo1 0.139 0.505 0.277 1
Ir1 0.371 0.274 0.014 1
Ir2 0.413 0.519 0.561 1
Ir3 0.461 0.719 0.813 1
Ir4 0.491 0.827 0.164 1
Ir5 0.665 0.078 0.707 1
Ir6 0.736 0.294 0.262 1
Ir7 0.906 0.845 0.431 1
Ir8 0.910 0.385 0.708 1
Ir9 0.953 0.640 0.909 1
```


DFT (PBE) results for a geometry-optimized Ta2MoIr structure.

Output
Its calculated volume is 16.9 A^3/atom. As for the calculated formation energy: 0.045 eV per atom. Its calculated total energy is -10.805 eV/atom. The calculation puts the size of the total moment at 0.0 μB per formula unit. As for the crystal system: trigonal.

Structure (CIF):
```
data_Ta2MoIr
_chemical_formula_sum 'Ta6 Mo3 Ir3'
_symmetry_space_group_name_H-M 'R 3 m'
_symmetry_Int_Tables_number 160
_symmetry_space_group_name_Hall 'R 3 -2"'
_cell_length_a 2.8486
_cell_length_b 2.8486
_cell_length_c 28.7759
_cell_angle_alpha 90.00
_cell_angle_beta 90.00
_cell_angle_gamma 120.00
loop_
_atom_site_label
_atom_site_fract_x
_atom_site_fract_y
_atom_site_fract_z
_atom_site_occupancy
Ta1 0.0000 0.0000 0.0000 1
Ta2 0.0000 0.0000 0.2426 1
Mo1 0.0000 0.0000 0.4887 1
Ir1 0.0000 0.0000 0.7468 1
```


What did the second record say?
DFT (PBE) results for a geometry-optimized Ta2MoIr9 structure.

Output
Its calculated volume is 15.6 A^3/atom. As for the calculated formation energy: -0.202 eV per atom. Its calculated total energy is -9.725 eV/atom. The calculation puts the size of the total moment at 0.0 μB per formula unit. As for the crystal system: triclinic.

Structure (CIF):
```
data_Ta2MoIr9
_chemical_formula_sum 'Ta2 Mo1 Ir9'
_symmetry_space_group_name_H-M 'P 1'
_symmetry_Int_Tables_number 1
_cell_length_a 4.827
_cell_length_b 6.805
_cell_length_c 6.861
_cell_angle_alpha 65.38
_cell_angle_beta 69.55
_cell_angle_gamma 70.95
loop_
_symmetry_equiv_pos_as_xyz
'x,y,z'
loop_
_atom_site_label
_atom_site_fract_x
_atom_site_fract_y
_atom_site_fract_z
_atom_site_occupancy
Ta1 0.000 0.000 0.000 1
Ta2 0.259 0.045 0.478 1
Mo1 0.139 0.505 0.277 1
Ir1 0.371 0.274 0.014 1
Ir2 0.413 0.519 0.561 1
Ir3 0.461 0.719 0.813 1
Ir4 0.491 0.827 0.164 1
Ir5 0.665 0.078 0.707 1
Ir6 0.736 0.294 0.262 1
Ir7 0.906 0.845 0.431 1
Ir8 0.910 0.385 0.708 1
Ir9 0.953 0.640 0.909 1
```


Copy entry 3 word for word.
DFT (PBE) results for a geometry-optimized Ta2MoIr structure.

Output
Its calculated volume is 16.9 A^3/atom. As for the calculated formation energy: 0.045 eV per atom. Its calculated total energy is -10.805 eV/atom. The calculation puts the size of the total moment at 0.0 μB per formula unit. As for the crystal system: trigonal.

Structure (CIF):
```
data_Ta2MoIr
_chemical_formula_sum 'Ta6 Mo3 Ir3'
_symmetry_space_group_name_H-M 'R 3 m'
_symmetry_Int_Tables_number 160
_symmetry_space_group_name_Hall 'R 3 -2"'
_cell_length_a 2.8486
_cell_length_b 2.8486
_cell_length_c 28.7759
_cell_angle_alpha 90.00
_cell_angle_beta 90.00
_cell_angle_gamma 120.00
loop_
_atom_site_label
_atom_site_fract_x
_atom_site_fract_y
_atom_site_fract_z
_atom_site_occupancy
Ta1 0.0000 0.0000 0.0000 1
Ta2 0.0000 0.0000 0.2426 1
Mo1 0.0000 0.0000 0.4887 1
Ir1 0.0000 0.0000 0.7468 1
```